# PBEsol K3InC, relaxed
data_K3InC
_cell_length_a 5.714
_cell_length_b 5.714
_cell_length_c 5.714
_cell_angle_alpha 90.00
_cell_angle_beta 90.00
_cell_angle_gamma 90.00
_symmetry_space_group_name_H-M 'P m -3 m'
_symmetry_Int_Tables_number 221
_symmetry_space_group_name_Hall '-P 4 2 3'
loop_
_atom_site_label
_atom_site_fract_x
_atom_site_fract_y
_atom_site_fract_z
_atom_site_occupancy
K1 0.000 0.000 0.500 1
In1 0.500 0.500 0.500 1
C1 0.000 0.000 0.000 1
# calculated density = 2.173 Mg/m³
# DFT formation energy = 0.98 eV per atom
# total magnetization = 2.1 Bohr magnetons per cell
# calculated total energy = -2.22 eV/atom